# 1
VASP calculation (PBE-GGA) on a geometry-optimized SrLu2Co structure.

Cell lengths 3.3783, 3.3783, 9.6051 Å; angles 90.00, 90.00, 90.00 degrees
Last column: nearest neighbours and their distance in Å.
Fractional coordinates of all 4 atoms:
Sr 0.0000 0.0000 0.0000  4 Sr 3.38
Lu 0.5000 0.5000 0.3382  4 Co 2.85, 1 Lu 3.11
Lu 0.5000 0.5000 0.6618  4 Co 2.85, 1 Lu 3.11
Co 0.0000 0.0000 0.5000  8 Lu 2.85

theoretical density = 7.5 g/cm³
crystal system = tetragonal
formation enthalpy at 0 K = -0.02 eV per atom

# 2
VASP calculation (PBE-GGA) on a geometry-optimized Ce2SmHoSb4 structure.

Cell lengths 7.7233, 4.4567, 7.7259 Å; angles 90.00, 109.46, 90.00 degrees
Last column: nearest neighbours and their distance in Å.
Fractional coordinates of all 8 atoms:
Ce 0.0000 0.0000 0.0000  6 Sb 3.18
Ce 0.5000 0.5000 0.0000  6 Sb 3.15
Sm 0.0000 0.5000 0.5000  6 Sb 3.15
Ho 0.5000 0.0000 0.5000  6 Sb 3.12
Sb 0.2523 0.0000 0.7473  1 Ho 3.12, 2 Sm 3.15, 3 Ce 3.15-3.18
Sb 0.2549 0.5000 0.2551  2 Ho 3.12, 1 Sm 3.15, 3 Ce 3.15-3.18
Sb 0.7451 0.5000 0.7449  2 Ho 3.12, 1 Sm 3.15, 3 Ce 3.15-3.18
Sb 0.7477 0.0000 0.2527  1 Ho 3.12, 2 Sm 3.15, 3 Ce 3.15-3.18

formation energy without anion corrections = -1.094 eV/atom
theoretical density = 7.2 g/cm³
crystal system = monoclinic

# 3
VASP calculation (PBE-GGA) on a geometry-optimized ZnClF2 structure.

Cell lengths 4.2033, 4.2033, 4.2033 Å; angles 60.00, 60.00, 60.00 degrees
Last column: nearest neighbours and their distance in Å.
Fractional coordinates of all 4 atoms:
Zn 0.0000 0.0000 0.0000  8 F 2.57
Cl 0.5000 0.5000 0.5000  8 F 2.57
F 0.2500 0.2500 0.2500  4 Cl 2.57, 4 Zn 2.57
F 0.7500 0.7500 0.7500  4 Cl 2.57, 4 Zn 2.57

formation energy without anion corrections = -0.623 eV/atom
theoretical density = 4.4 g/cm³
crystal system = cubic

# 4
VASP calculation (PBE-GGA) on a geometry-optimized Y3TlCr structure.

Cell lengths 5.2121, 5.2121, 5.2121 Å; angles 90.00, 90.00, 90.00 degrees
Last column: nearest neighbours and their distance in Å.
Fractional coordinates of all 5 atoms:
Y 0.0000 0.0000 0.5000  2 Cr 2.61
Y 0.0000 0.5000 0.0000  2 Cr 2.61
Y 0.5000 0.0000 0.0000  2 Cr 2.61
Tl 0.5000 0.5000 0.5000  12 Y 3.69
Cr 0.0000 0.0000 0.0000  6 Y 2.61

theoretical density = 6.1 g/cm³
crystal system = cubic
formation enthalpy at 0 K = 0.33 eV per atom

# 5
VASP calculation (PBE-GGA) on a geometry-optimized YGe2Os structure.

Cell lengths 4.6357, 4.6357, 4.6357 Å; angles 60.00, 60.00, 60.00 degrees
Last column: nearest neighbours and their distance in Å.
Fractional coordinates of all 4 atoms:
Y 0.0000 0.0000 0.0000  8 Ge 2.84
Ge 0.2500 0.2500 0.2500  4 Os 2.84, 4 Y 2.84
Ge 0.7500 0.7500 0.7500  4 Os 2.84, 4 Y 2.84
Os 0.5000 0.5000 0.5000  8 Ge 2.84

theoretical density = 10.0 g/cm³
crystal system = cubic
formation enthalpy at 0 K = -0.19 eV per atom

# 6
VASP calculation (PBE-GGA) on a geometry-optimized Cs2Ag2BiBr6 structure.

Cell lengths 8.7503, 8.7503, 8.7503 Å; angles 58.70, 58.70, 58.70 degrees
Last column: nearest neighbours and their distance in Å.
Fractional coordinates of all 11 atoms:
Cs 0.2263 0.2263 0.2263  3 Br 3.86
Cs 0.7737 0.7737 0.7737  3 Br 3.86
Ag 0.4360 0.4360 0.4360  3 Br 2.67, 1 Ag 2.77
Ag 0.5640 0.5640 0.5640  3 Br 2.67, 1 Ag 2.77
Bi 0.0000 0.0000 0.0000  6 Br 2.94
Br 0.2277 0.7606 0.7606  1 Ag 2.67, 1 Bi 2.94
Br 0.2394 0.2394 0.7723  1 Ag 2.67, 1 Bi 2.94
Br 0.2394 0.7723 0.2394  1 Ag 2.67, 1 Bi 2.94
Br 0.7606 0.2277 0.7606  1 Ag 2.67, 1 Bi 2.94
Br 0.7606 0.7606 0.2277  1 Ag 2.67, 1 Bi 2.94
Br 0.7723 0.2394 0.2394  1 Ag 2.67, 1 Bi 2.94

formation energy without anion corrections = -0.885 eV/atom
theoretical density = 4.2 g/cm³
crystal system = trigonal

# 7
VASP calculation (PBE-GGA) on a geometry-optimized CuNi4Rh2 structure.

Cell lengths 4.0521, 4.0521, 12.2698 Å; angles 90.00, 90.00, 117.60 degrees
Last column: nearest neighbours and their distance in Å.
Fractional coordinates of all 14 atoms:
Cu 0.0375 0.9625 0.7500  5 Ni 2.36-2.63
Cu 0.9625 0.0375 0.2500  5 Ni 2.36-2.63
Ni 0.0000 0.0000 0.0000  6 Rh 2.44-2.48
Ni 0.0000 0.0000 0.5000  6 Rh 2.44-2.48
Ni 0.3003 0.6997 0.1527  2 Ni 2.39-2.53, 3 Rh 2.58-2.59, 3 Cu 2.63-2.66
Ni 0.3003 0.6997 0.3473  2 Ni 2.39-2.53, 3 Rh 2.58-2.59, 3 Cu 2.63-2.66
Ni 0.3782 0.6218 0.7500  3 Cu 2.36-2.37, 2 Rh 2.39, 2 Ni 2.53
Ni 0.6218 0.3782 0.2500  3 Cu 2.36-2.37, 2 Rh 2.39, 2 Ni 2.53
Ni 0.6997 0.3003 0.6527  2 Ni 2.39-2.53, 3 Rh 2.58-2.59, 3 Cu 2.63-2.66
Ni 0.6997 0.3003 0.8473  2 Ni 2.39-2.53, 3 Rh 2.58-2.59, 3 Cu 2.63-2.66
Rh 0.3378 0.6622 0.5562  7 Ni 2.39-2.59, 1 Rh 2.64
Rh 0.3378 0.6622 0.9438  7 Ni 2.39-2.59, 1 Rh 2.64
Rh 0.6622 0.3378 0.0562  7 Ni 2.39-2.59, 1 Rh 2.64
Rh 0.6622 0.3378 0.4438  7 Ni 2.39-2.59, 1 Rh 2.64

theoretical density = 9.4 g/cm³
crystal system = orthorhombic
formation enthalpy at 0 K = 0.24 eV per atom

# 8
VASP calculation (PBE-GGA) on a geometry-optimized TbHfTcNi structure.

Cell lengths 4.6855, 4.6855, 4.6855 Å; angles 60.00, 60.00, 60.00 degrees
Last column: nearest neighbours and their distance in Å.
Fractional coordinates of all 4 atoms:
Tb 0.0000 0.0000 0.0000  4 Tc 2.87, 4 Ni 2.87
Hf 0.5000 0.5000 0.5000  4 Tc 2.87, 4 Ni 2.87
Tc 0.2500 0.2500 0.2500  4 Hf 2.87, 4 Tb 2.87
Ni 0.7500 0.7500 0.7500  4 Hf 2.87, 4 Tb 2.87

theoretical density = 11.3 g/cm³
crystal system = cubic
formation enthalpy at 0 K = -0.27 eV per atom

# 9
VASP calculation (PBE-GGA) on a geometry-optimized La6Pm2Sc structure.

Cell lengths 7.9146, 7.9146, 5.8456 Å; angles 111.51, 111.51, 80.81 degrees
Last column: nearest neighbours and their distance in Å.
Fractional coordinates of all 9 atoms:
La 0.1483 0.5219 0.3344  7 La 3.48-3.83, 3 Pm 3.49-3.63, 1 Sc 3.66
La 0.1765 0.8235 0.0000  2 Sc 3.44, 7 La 3.54-3.69, 2 Pm 3.80
La 0.4781 0.8517 0.6656  7 La 3.48-3.83, 3 Pm 3.49-3.63, 1 Sc 3.66
La 0.5219 0.1483 0.3344  7 La 3.48-3.83, 3 Pm 3.49-3.63, 1 Sc 3.66
La 0.8235 0.1765 0.0000  2 Sc 3.44, 7 La 3.54-3.69, 2 Pm 3.80
La 0.8517 0.4781 0.6656  7 La 3.48-3.83, 3 Pm 3.49-3.63, 1 Sc 3.66
Pm 0.3250 0.3250 0.8239  1 Sc 3.43, 8 La 3.49-3.80, 1 Pm 3.70
Pm 0.6750 0.6750 0.1761  1 Sc 3.43, 8 La 3.49-3.80, 1 Pm 3.70
Sc 0.0000 0.0000 0.5000  2 Pm 3.43, 8 La 3.44-3.66

theoretical density = 6.1 g/cm³
crystal system = monoclinic
formation enthalpy at 0 K = 0.16 eV per atom

# 10
VASP calculation (PBE-GGA) on a geometry-optimized Tb3Zn2Sn structure.

Cell lengths 8.1570, 8.1570, 3.6713 Å; angles 90.00, 90.00, 143.18 degrees
Last column: nearest neighbours and their distance in Å.
Fractional coordinates of all 6 atoms:
Tb 0.0000 0.0000 0.0000  4 Sn 3.16, 4 Zn 3.23
Tb 0.3277 0.6723 0.0000  6 Zn 3.03-3.16, 2 Sn 3.24
Tb 0.6723 0.3277 0.0000  6 Zn 3.03-3.16, 2 Sn 3.24
Zn 0.1720 0.8280 0.5000  8 Tb 3.03-3.23
Zn 0.8280 0.1720 0.5000  8 Tb 3.03-3.23
Sn 0.5000 0.5000 0.5000  8 Tb 3.16-3.24

theoretical density = 8.2 g/cm³
crystal system = orthorhombic
formation enthalpy at 0 K = -0.46 eV per atom

# 11
VASP calculation (PBE-GGA) on a geometry-optimized ScV2ZnPd structure.

Cell lengths 4.8083, 4.8083, 4.9473 Å; angles 90.00, 90.00, 90.00 degrees
Last column: nearest neighbours and their distance in Å.
Fractional coordinates of all 5 atoms:
Sc 0.0000 0.0000 0.0000  2 Pd 2.47
V 0.0000 0.5000 0.5000  2 Pd 2.40
V 0.5000 0.0000 0.5000  2 Pd 2.40
Zn 0.5000 0.5000 0.0000  4 Sc 3.40, 8 V 3.45
Pd 0.0000 0.0000 0.5000  4 V 2.40, 2 Sc 2.47

theoretical density = 4.6 g/cm³
crystal system = tetragonal
formation enthalpy at 0 K = 0.80 eV per atom

# 12
VASP calculation (PBE-GGA) on a geometry-optimized SrTe2IF structure.

Cell lengths 4.8142, 4.8142, 6.5537 Å; angles 90.00, 90.00, 90.00 degrees
Last column: nearest neighbours and their distance in Å.
Fractional coordinates of all 5 atoms:
Sr 0.0000 0.0000 0.0000  4 I 3.40
Te 0.0000 0.5000 0.5000  2 F 2.41
Te 0.5000 0.0000 0.5000  2 F 2.41
I 0.5000 0.5000 0.0000  2 F 3.28, 4 Sr 3.40
F 0.5000 0.5000 0.5000  4 Te 2.41

formation energy without anion corrections = -0.951 eV/atom
theoretical density = 5.3 g/cm³
crystal system = tetragonal